[1]
VASP calculation (PBE) on crystalline Ba3HgBi2Au6 at its relaxed geometry.

```
data_Ba3HgBi2Au6
_space_group_name_H-M_alt 'P 1'
_space_group_IT_number 1
_cell_length_a 6.701
_cell_length_b 6.701
_cell_length_c 9.381
_cell_angle_alpha 90.00
_cell_angle_beta 90.00
_cell_angle_gamma 120.00
loop_
_space_group_symop_operation_xyz
'x,y,z'
loop_
_atom_site_label
_atom_site_type_symbol
_atom_site_fract_x
_atom_site_fract_y
_atom_site_fract_z
_atom_site_occupancy
Au1 Au 0.344 0.172 0.705 1
Au2 Au 0.828 0.172 0.705 1
Au3 Au 0.828 0.656 0.705 1
Au4 Au 0.656 0.828 0.295 1
Au5 Au 0.172 0.828 0.295 1
Au6 Au 0.172 0.344 0.295 1
Bi1 Bi 0.667 0.333 0.930 1
Bi2 Bi 0.333 0.667 0.070 1
Ba1 Ba 0.000 0.000 0.000 1
Ba2 Ba 0.667 0.333 0.369 1
Ba3 Ba 0.333 0.667 0.631 1
Hg1 Hg 0.000 0.000 0.500 1
```

Summary:
- Calculated formation energy: -554 kJ/mol of formula units
- Magnetic moment: 0.00 μB/cell
- Space group: P-3m1 (164)
- V: 30.404 Å³ per atom
- DOS at the Fermi energy: 2.4 states/eV/f.u.

***

[2]
VASP calculation (PBE) on crystalline Ce3Sb5Pd6 at its relaxed geometry.

```
data_Ce3Sb5Pd6
_space_group_name_H-M_alt 'P 1'
_space_group_IT_number 1
_cell_length_a 4.454
_cell_length_b 10.198
_cell_length_c 13.469
_cell_angle_alpha 90.00
_cell_angle_beta 90.00
_cell_angle_gamma 90.00
loop_
_space_group_symop_operation_xyz
'x,y,z'
loop_
_atom_site_label
_atom_site_type_symbol
_atom_site_fract_x
_atom_site_fract_y
_atom_site_fract_z
_atom_site_occupancy
Ce1 Ce 0.000 0.245 0.000 1
Ce2 Ce 0.500 0.753 0.826 1
Ce3 Ce 0.000 0.247 0.674 1
Ce4 Ce 0.000 0.247 0.326 1
Ce5 Ce 0.500 0.755 0.500 1
Ce6 Ce 0.500 0.753 0.174 1
Sb1 Sb 0.000 0.821 0.000 1
Sb2 Sb 0.500 0.137 0.836 1
Sb3 Sb 0.500 0.477 0.372 1
Sb4 Sb 0.500 0.477 0.628 1
Sb5 Sb 0.500 0.137 0.164 1
Sb6 Sb 0.000 0.863 0.336 1
Sb7 Sb 0.500 0.179 0.500 1
Sb8 Sb 0.000 0.523 0.872 1
Sb9 Sb 0.000 0.863 0.664 1
Sb10 Sb 0.000 0.523 0.128 1
Pd1 Pd 0.000 0.608 0.680 1
Pd2 Pd 0.000 0.608 0.320 1
Pd3 Pd 0.000 0.989 0.842 1
Pd4 Pd 0.000 0.017 0.500 1
Pd5 Pd 0.000 0.989 0.158 1
Pd6 Pd 0.500 0.011 0.342 1
Pd7 Pd 0.000 0.469 0.500 1
Pd8 Pd 0.500 0.392 0.820 1
Pd9 Pd 0.500 0.531 0.000 1
Pd10 Pd 0.500 0.983 0.000 1
Pd11 Pd 0.500 0.392 0.180 1
Pd12 Pd 0.500 0.011 0.658 1
```

Summary:
- E_form (uncorrected): -843.8 meV/atom
- Magnetic moment: 3.75 μB/cell
- Space group: Pmmn (59)
- V: 21.851 Å³ per atom
- DOS at the Fermi energy: 19.5 states/eV/f.u.

***

[3]
VASP calculation (PBE) on crystalline Pa2MnTl3Te6 at its relaxed geometry.

```
data_Pa2MnTl3Te6
_space_group_name_H-M_alt 'P 1'
_space_group_IT_number 1
_cell_length_a 7.469
_cell_length_b 7.469
_cell_length_c 8.737
_cell_angle_alpha 98.22
_cell_angle_beta 98.22
_cell_angle_gamma 119.84
loop_
_space_group_symop_operation_xyz
'x,y,z'
loop_
_atom_site_label
_atom_site_type_symbol
_atom_site_fract_x
_atom_site_fract_y
_atom_site_fract_z
_atom_site_occupancy
Mn1 Mn 0.000 0.000 0.000 1
Te1 Te 0.613 0.932 0.791 1
Te2 Te 0.387 0.068 0.209 1
Te3 Te 0.246 0.246 0.785 1
Te4 Te 0.932 0.613 0.791 1
Te5 Te 0.068 0.387 0.209 1
Te6 Te 0.754 0.754 0.215 1
Tl1 Tl 0.827 0.173 0.500 1
Tl2 Tl 0.173 0.827 0.500 1
Tl3 Tl 0.500 0.500 0.500 1
Pa1 Pa 0.335 0.665 0.000 1
Pa2 Pa 0.665 0.335 0.000 1
```

Summary:
- E_form (uncorrected): -498.4 meV/atom
- Magnetic moment: 7.84 μB/cell
- Space group: C2/m (12)
- V: 33.769 Å³ per atom
- DOS at the Fermi energy: 9.8 states/eV/f.u.